[1]
Computed, not measured: a relaxed CuAgW2 crystal at the PBE level of DFT.

abc: 4.440 4.440 4.440
angles: 60.00 60.00 60.00
Element x y z (fractional)
Cu 0.000 0.000 0.000
Ag 0.500 0.500 0.500
W 0.250 0.250 0.250
W 0.750 0.750 0.750

* total magnetization: 0.0000 μB/atom
* energy above the most stable polymorph in this dataset: 670 meV per atom
* symmetry: Fm-3m, No. 225
* N(E_F): 1.5712 states/eV per atom
* density: 14.5 g/cm3

=====

[2]
Computed, not measured: a relaxed Cu2AgW crystal at the PBE level of DFT.

abc: 4.323 4.323 4.323
angles: 60.00 60.00 60.00
Element x y z (fractional)
Cu 0.250 0.250 0.250
Cu 0.750 0.750 0.750
Ag 0.000 0.000 0.000
W 0.500 0.500 0.500

* total magnetization: 0.0000 μB/atom
* energy above the most stable polymorph in this dataset: 322 meV per atom
* symmetry: Fm-3m, No. 225
* N(E_F): 0.9918 states/eV per atom
* density: 12.2 g/cm3